[1]
Computed, not measured: an optimized crystal structure of Ho3Th3Sc2 at the PBE level of DFT.

Unit cell a=4.8727 b=4.9313 c=9.9389 alpha=90.00 beta=90.00 gamma=90.00
Space group Pmmm (No. 47)
Symmetry-distinct sites (fractional):
Ho 0.0000 0.0000 0.0000 [1 per cell]
Ho 0.0000 0.0000 0.5000 [1 per cell]
Ho 0.5000 0.5000 0.0000 [1 per cell]
Th 0.5000 0.0000 0.2478 [2 per cell]
Th 0.5000 0.5000 0.5000 [1 per cell]
Sc 0.0000 0.5000 0.2521 [2 per cell]

Calculated values
The crystal system is orthorhombic. As for the density of states at the Fermi level: 11.0 states/eV/f.u. As for the excess energy over the best structure of this formula in the dataset: 0.0 meV/atom.



[2]
Computed, not measured: an optimized crystal structure of Ho7ThSc3 at the PBE level of DFT.

Unit cell a=6.9239 b=6.9239 c=8.2478 alpha=90.00 beta=90.00 gamma=120.00
Space group P3m1 (No. 156)
Symmetry-distinct sites (fractional):
Ho 0.0000 0.0000 0.0000 [1 per cell]
Ho 0.1654 0.3309 0.3500 [3 per cell]
Ho 0.5027 0.0054 0.0016 [3 per cell]
Th 0.6667 0.3333 0.3438 [1 per cell]
Sc 0.3376 0.1688 0.6718 [3 per cell]

Calculated values
The crystal system is trigonal. As for the density of states at the Fermi level: 18.4 states/eV/f.u.



[3]
Computed, not measured: an optimized crystal structure of Ho2Th6Sc at the PBE level of DFT.

Unit cell a=15.2327 b=11.8105 c=6.4671 alpha=90.00 beta=97.70 gamma=90.00
Space group C2/c (No. 15)
Symmetry-distinct sites (fractional):
Ho 0.1917 0.0324 0.3740 [8 per cell]
Th 0.0198 0.1434 0.0071 [8 per cell]
Th 0.1138 0.3811 0.2803 [8 per cell]
Th 0.1874 0.2505 0.7620 [8 per cell]
Sc 0.0000 0.3856 0.7500 [4 per cell]

Calculated values
The crystal system is monoclinic. As for the density of states at the Fermi level: 13.8 states/eV/f.u. As for the excess energy over the best structure of this formula in the dataset: 114.3 meV/atom.



[4]
Computed, not measured: an optimized crystal structure of Ho8Th6Sc at the PBE level of DFT.

Unit cell a=8.7970 b=8.7970 c=21.0837 alpha=90.00 beta=90.00 gamma=120.00
Space group R-3 (No. 148, hexagonal axes)
Symmetry-distinct sites (fractional):
Ho 0.0000 0.0000 0.0803 [6 per cell]
Ho 0.0643 0.8118 0.6334 [18 per cell]
Th 0.0332 0.2485 0.2091 [18 per cell]
Sc 0.0000 0.0000 0.5000 [3 per cell]

Calculated values
The crystal system is trigonal. As for the density of states at the Fermi level: 26.4 states/eV/f.u.



[5]
Computed, not measured: an optimized crystal structure of Ho8Th2Sc at the PBE level of DFT.

Unit cell a=16.4780 b=6.5546 c=6.5348 alpha=90.00 beta=100.70 gamma=90.00
Space group C2/m (No. 12)
Symmetry-distinct sites (fractional):
Ho 0.0833 0.2419 0.3920 [8 per cell]
Ho 0.0927 0.0000 0.9075 [4 per cell]
Ho 0.1920 0.5000 0.8188 [4 per cell]
Th 0.2478 0.5000 0.3412 [4 per cell]
Sc 0.0000 0.5000 0.0000 [2 per cell]

Calculated values
The crystal system is monoclinic. As for the density of states at the Fermi level: 15.4 states/eV/f.u. As for the excess energy over the best structure of this formula in the dataset: 0.0 meV/atom.



[6]
Computed, not measured: an optimized crystal structure of Ho2ThSc3 at the PBE level of DFT.

Unit cell a=5.9461 b=10.2872 c=11.0769 alpha=90.00 beta=100.31 gamma=90.00
Space group C2/m (No. 12)
Symmetry-distinct sites (fractional):
Ho 0.0000 0.0000 0.0000 [2 per cell]
Ho 0.0000 0.1659 0.5000 [4 per cell]
Ho 0.0000 0.5000 0.5000 [2 per cell]
Th 0.0000 0.3332 0.0000 [4 per cell]
Sc 0.2445 0.5000 0.2475 [4 per cell]
Sc 0.2473 0.3306 0.7525 [8 per cell]

Calculated values
The crystal system is monoclinic. As for the density of states at the Fermi level: 8.1 states/eV/f.u. As for the excess energy over the best structure of this formula in the dataset: 0.0 meV/atom.



[7]
Computed, not measured: an optimized crystal structure of Ho2Th3Sc2 at the PBE level of DFT.

Unit cell a=7.0693 b=6.2293 c=11.6280 alpha=90.00 beta=125.13 gamma=90.00
Space group P2_1/c (No. 14)
Symmetry-distinct sites (fractional):
Ho 0.1328 0.1636 0.3229 [4 per cell]
Th 0.0000 0.0000 0.0000 [2 per cell]
Th 0.3473 0.0160 0.6760 [4 per cell]
Sc 0.3724 0.7071 0.4499 [4 per cell]

Calculated values
The crystal system is monoclinic. As for the density of states at the Fermi level: 10.8 states/eV/f.u. As for the excess energy over the best structure of this formula in the dataset: 123.9 meV/atom.



[8]
Computed, not measured: an optimized crystal structure of Ho2Th3Sc at the PBE level of DFT.

Unit cell a=10.0721 b=11.0781 c=6.6646 alpha=90.00 beta=90.00 gamma=90.00
Space group Cmcm (No. 63)
Symmetry-distinct sites (fractional):
Ho 0.1691 0.2306 0.2500 [8 per cell]
Th 0.0000 0.0000 0.0000 [4 per cell]
Th 0.1645 0.5000 0.0000 [8 per cell]
Sc 0.0000 0.2722 0.7500 [4 per cell]

Calculated values
The crystal system is orthorhombic. As for the density of states at the Fermi level: 7.6 states/eV/f.u. As for the excess energy over the best structure of this formula in the dataset: 119.6 meV/atom.



[9]
Computed, not measured: an optimized crystal structure of HoTh4Sc8 at the PBE level of DFT.

Unit cell a=12.3185 b=7.1177 c=9.1868 alpha=90.00 beta=116.51 gamma=90.00
Space group C2/m (No. 12)
Symmetry-distinct sites (fractional):
Ho 0.0000 0.0000 0.0000 [2 per cell]
Th 0.0000 0.0000 0.5000 [2 per cell]
Th 0.0000 0.5000 0.5000 [2 per cell]
Th 0.2500 0.2500 0.5000 [4 per cell]
Sc 0.0354 0.2892 0.8174 [8 per cell]
Sc 0.2187 0.5000 0.1558 [4 per cell]
Sc 0.2464 0.5000 0.8171 [4 per cell]

Calculated values
The crystal system is monoclinic. As for the density of states at the Fermi level: 15.5 states/eV/f.u.



[10]
Computed, not measured: an optimized crystal structure of Ho3ThSc4 at the PBE level of DFT.

Unit cell a=10.8844 b=6.8997 c=5.9724 alpha=90.00 beta=90.00 gamma=90.00
Space group Pmn2_1 (No. 31)
Symmetry-distinct sites (fractional):
Ho 0.0000 0.1307 0.0000 [2 per cell]
Ho 0.2488 0.1326 0.3468 [4 per cell]
Th 0.0000 0.8637 0.5041 [2 per cell]
Sc 0.0000 0.3838 0.5093 [2 per cell]
Sc 0.0000 0.6180 0.0145 [2 per cell]
Sc 0.2494 0.3811 0.8436 [4 per cell]

Calculated values
The crystal system is orthorhombic. As for the density of states at the Fermi level: 14.7 states/eV/f.u. As for the excess energy over the best structure of this formula in the dataset: 0.0 meV/atom.



[11]
Computed, not measured: an optimized crystal structure of Ho2ThSc5 at the PBE level of DFT.

Unit cell a=6.6808 b=13.3930 c=4.8205 alpha=90.00 beta=90.00 gamma=90.00
Space group Pbam (No. 55)
Symmetry-distinct sites (fractional):
Ho 0.2414 0.1271 0.0000 [4 per cell]
Th 0.0000 0.5000 0.5000 [2 per cell]
Sc 0.0000 0.0000 0.5000 [2 per cell]
Sc 0.0122 0.7501 0.5000 [4 per cell]
Sc 0.2386 0.3763 0.0000 [4 per cell]

Calculated values
The crystal system is orthorhombic. As for the density of states at the Fermi level: 13.8 states/eV/f.u. As for the excess energy over the best structure of this formula in the dataset: 16.6 meV/atom.



[12]
Computed, not measured: an optimized crystal structure of Ho4Th2Sc at the PBE level of DFT.

Unit cell a=6.2405 b=6.3836 c=6.5997 alpha=118.80 beta=99.55 gamma=99.43
Space group P-1 (No. 2)
Symmetry-distinct sites (fractional):
Ho 0.1570 0.2778 0.2831 [2 per cell]
Ho 0.2402 0.4726 0.8939 [2 per cell]
Th 0.2524 0.8972 0.4850 [2 per cell]
Sc 0.5000 0.0000 0.0000 [1 per cell]

Calculated values
The crystal system is triclinic. As for the density of states at the Fermi level: 8.5 states/eV/f.u. As for the excess energy over the best structure of this formula in the dataset: 0.0 meV/atom.



Number 1: ΔE_f 0.041 eV/atom. Number 2: ΔE_f 0.215 eV/atom. Number 3: ΔE_f 0.205 eV/atom. Number 4: ΔE_f 0.139 eV/atom. Number 5: ΔE_f 0.189 eV/atom. Number 6: ΔE_f 0.047 eV/atom. Number 7: ΔE_f 0.168 eV/atom. Number 8: ΔE_f 0.195 eV/atom. Number 9: ΔE_f 0.232 eV/atom. Number 10: ΔE_f 0.038 eV/atom. Number 11: ΔE_f 0.047 eV/atom. Number 12: ΔE_f 0.209 eV/atom.